DFT (GGA-PBE) results for LiPr4Ni2 after structural relaxation. Values from VASP.

Properties
- space-group type = R-3m, No. 166
- density (g/cm3) = 6.20
- E_tot (eV/atom) = -4.68
- M_tot (μB per formula unit) = 0.00
- formation enthalpy at 0 K (eV per atom) = -0.027

```
&SYSTEM
  ibrav = 0, nat = 7, ntyp = 3
/
ATOMIC_SPECIES
Li 6.94 Li.upf
Pr 140.91 Pr.upf
Ni 58.69 Ni.upf
CELL_PARAMETERS angstrom
2.467 1.424 8.733
-2.467 1.424 8.733
0.000 -2.849 8.733
ATOMIC_POSITIONS crystal
Li 0.000 0.000 0.000
Pr 0.208 0.208 0.208
Pr 0.383 0.383 0.383
Pr 0.617 0.617 0.617
Pr 0.792 0.792 0.792
Ni 0.095 0.095 0.095
Ni 0.905 0.905 0.905
```



DFT (GGA-PBE) results for LiPr2Ni after structural relaxation. Values from VASP.

Properties
- space-group type = R-3m, No. 166
- density (g/cm3) = 4.40
- E_tot (eV/atom) = -4.21
- M_tot (μB per formula unit) = 0.00
- formation enthalpy at 0 K (eV per atom) = 0.101

```
&SYSTEM
  ibrav = 0, nat = 4, ntyp = 3
/
ATOMIC_SPECIES
Li 6.94 Li.upf
Pr 140.91 Pr.upf
Ni 58.69 Ni.upf
CELL_PARAMETERS angstrom
1.921 1.109 10.258
-1.921 1.109 10.258
0.000 -2.218 10.258
ATOMIC_POSITIONS crystal
Li 0.000 0.000 0.000
Pr 0.112 0.112 0.112
Pr 0.888 0.888 0.888
Ni 0.500 0.500 0.500
```



DFT (GGA-PBE) results for Li2Pr2Ni15 after structural relaxation. Values from VASP.

Properties
- space-group type = R-3m, No. 166
- density (g/cm3) = 7.84
- E_tot (eV/atom) = -5.46
- M_tot (μB per formula unit) = 5.06
- formation enthalpy at 0 K (eV per atom) = -0.188

```
&SYSTEM
  ibrav = 0, nat = 19, ntyp = 3
/
ATOMIC_SPECIES
Li 6.94 Li.upf
Pr 140.91 Pr.upf
Ni 58.69 Ni.upf
CELL_PARAMETERS angstrom
4.216 2.434 4.047
-4.216 2.434 4.047
0.000 -4.868 4.047
ATOMIC_POSITIONS crystal
Li 0.093 0.093 0.093
Li 0.907 0.907 0.907
Pr 0.342 0.342 0.342
Pr 0.658 0.658 0.658
Ni 0.000 0.000 0.500
Ni 0.000 0.298 0.702
Ni 0.000 0.500 0.000
Ni 0.000 0.702 0.298
Ni 0.156 0.658 0.658
Ni 0.298 0.000 0.702
Ni 0.298 0.702 0.000
Ni 0.342 0.342 0.844
Ni 0.342 0.844 0.342
Ni 0.500 0.000 0.000
Ni 0.658 0.156 0.658
Ni 0.658 0.658 0.156
Ni 0.702 0.000 0.298
Ni 0.702 0.298 0.000
Ni 0.844 0.342 0.342
```



DFT (GGA-PBE) results for LiPrNiRh after structural relaxation. Values from VASP.

Properties
- space-group type = F-43m, No. 216
- density (g/cm3) = 7.18
- E_tot (eV/atom) = -5.12
- M_tot (μB per formula unit) = 0.00
- formation enthalpy at 0 K (eV per atom) = -0.164

```
&SYSTEM
  ibrav = 0, nat = 4, ntyp = 4
/
ATOMIC_SPECIES
Li 6.94 Li.upf
Pr 140.91 Pr.upf
Ni 58.69 Ni.upf
Rh 102.91 Rh.upf
CELL_PARAMETERS angstrom
0.000 3.295 3.295
3.295 0.000 3.295
3.295 3.295 0.000
ATOMIC_POSITIONS crystal
Li 0.000 0.000 0.000
Pr 0.500 0.500 0.500
Ni 0.250 0.250 0.250
Rh 0.750 0.750 0.750
```



DFT (GGA-PBE) results for LiPr2Ni12Rh3 after structural relaxation. Values from VASP.

Properties
- space-group type = R-3m, No. 166
- density (g/cm3) = 8.66
- E_tot (eV/atom) = -5.70
- M_tot (μB per formula unit) = 5.90
- formation enthalpy at 0 K (eV per atom) = 0.018

```
&SYSTEM
  ibrav = 0, nat = 18, ntyp = 4
/
ATOMIC_SPECIES
Li 6.94 Li.upf
Pr 140.91 Pr.upf
Ni 58.69 Ni.upf
Rh 102.91 Rh.upf
CELL_PARAMETERS angstrom
4.203 2.427 4.078
-4.203 2.427 4.078
0.000 -4.853 4.078
ATOMIC_POSITIONS crystal
Li 0.000 0.000 0.000
Pr 0.279 0.279 0.279
Pr 0.721 0.721 0.721
Ni 0.153 0.578 0.578
Ni 0.199 0.199 0.738
Ni 0.199 0.738 0.199
Ni 0.262 0.801 0.801
Ni 0.422 0.422 0.847
Ni 0.422 0.847 0.422
Ni 0.578 0.153 0.578
Ni 0.578 0.578 0.153
Ni 0.738 0.199 0.199
Ni 0.801 0.262 0.801
Ni 0.801 0.801 0.262
Ni 0.847 0.422 0.422
Rh 0.000 0.000 0.500
Rh 0.000 0.500 0.000
Rh 0.500 0.000 0.000
```



DFT (GGA-PBE) results for LiPrScNi after structural relaxation. Values from VASP.

Properties
- space-group type = F-43m, No. 216
- density (g/cm3) = 5.07
- E_tot (eV/atom) = -4.77
- M_tot (μB per formula unit) = 0.00
- formation enthalpy at 0 K (eV per atom) = -0.069

```
&SYSTEM
  ibrav = 0, nat = 4, ntyp = 4
/
ATOMIC_SPECIES
Li 6.94 Li.upf
Pr 140.91 Pr.upf
Sc 44.96 Sc.upf
Ni 58.69 Ni.upf
CELL_PARAMETERS angstrom
0.000 3.454 3.454
3.454 0.000 3.454
3.454 3.454 0.000
ATOMIC_POSITIONS crystal
Li 0.000 0.000 0.000
Pr 0.250 0.250 0.250
Sc 0.750 0.750 0.750
Ni 0.500 0.500 0.500
```



DFT (GGA-PBE) results for Li3Pr2SiNi12 after structural relaxation. Values from VASP.

Properties
- space-group type = R-3m, No. 166
- density (g/cm3) = 6.62
- E_tot (eV/atom) = -4.93
- M_tot (μB per formula unit) = 0.00

```
&SYSTEM
  ibrav = 0, nat = 18, ntyp = 4
/
ATOMIC_SPECIES
Li 6.94 Li.upf
Pr 140.91 Pr.upf
Si 28.09 Si.upf
Ni 58.69 Ni.upf
CELL_PARAMETERS angstrom
2.949 1.703 8.618
-2.949 1.703 8.618
0.000 -3.406 8.618
ATOMIC_POSITIONS crystal
Li 0.000 0.500 0.500
Li 0.500 0.000 0.500
Li 0.500 0.500 0.000
Pr 0.148 0.148 0.148
Pr 0.852 0.852 0.852
Si 0.500 0.500 0.500
Ni 0.083 0.083 0.688
Ni 0.083 0.688 0.083
Ni 0.147 0.574 0.574
Ni 0.312 0.917 0.917
Ni 0.426 0.426 0.853
Ni 0.426 0.853 0.426
Ni 0.574 0.147 0.574
Ni 0.574 0.574 0.147
Ni 0.688 0.083 0.083
Ni 0.853 0.426 0.426
Ni 0.917 0.312 0.917
Ni 0.917 0.917 0.312
```



DFT (GGA-PBE) results for Li2Pr2Si4Ni after structural relaxation. Values from VASP.

Properties
- space-group type = I4/mmm, No. 139
- density (g/cm3) = 4.90
- E_tot (eV/atom) = -5.01
- M_tot (μB per formula unit) = 0.00

```
&SYSTEM
  ibrav = 0, nat = 9, ntyp = 4
/
ATOMIC_SPECIES
Li 6.94 Li.upf
Pr 140.91 Pr.upf
Si 28.09 Si.upf
Ni 58.69 Ni.upf
CELL_PARAMETERS angstrom
-2.970 2.970 4.483
2.970 -2.970 4.483
2.970 2.970 -4.483
ATOMIC_POSITIONS crystal
Li 0.216 0.216 0.000
Li 0.784 0.784 0.000
Pr 0.250 0.750 0.500
Pr 0.750 0.250 0.500
Si 0.217 0.217 0.434
Si 0.217 0.783 0.000
Si 0.783 0.217 0.000
Si 0.783 0.783 0.566
Ni 0.500 0.500 0.000
```



DFT (GGA-PBE) results for LiPrSiNi after structural relaxation. Values from VASP.

Properties
- space-group type = F-43m, No. 216
- density (g/cm3) = 5.83
- E_tot (eV/atom) = -4.89
- M_tot (μB per formula unit) = 0.00

```
&SYSTEM
  ibrav = 0, nat = 4, ntyp = 4
/
ATOMIC_SPECIES
Li 6.94 Li.upf
Pr 140.91 Pr.upf
Si 28.09 Si.upf
Ni 58.69 Ni.upf
CELL_PARAMETERS angstrom
0.000 3.220 3.220
3.220 0.000 3.220
3.220 3.220 0.000
ATOMIC_POSITIONS crystal
Li 0.000 0.000 0.000
Pr 0.750 0.750 0.750
Si 0.250 0.250 0.250
Ni 0.500 0.500 0.500
```



DFT (GGA-PBE) results for LiPr2Si3Ni4 after structural relaxation. Values from VASP.

Properties
- space-group type = P-4m2, No. 115
- density (g/cm3) = 6.30
- E_tot (eV/atom) = -5.74
- M_tot (μB per formula unit) = 0.00

```
&SYSTEM
  ibrav = 0, nat = 10, ntyp = 4
/
ATOMIC_SPECIES
Li 6.94 Li.upf
Pr 140.91 Pr.upf
Si 28.09 Si.upf
Ni 58.69 Ni.upf
CELL_PARAMETERS angstrom
4.090 0.000 0.000
0.000 4.090 0.000
0.000 0.000 9.575
ATOMIC_POSITIONS crystal
Li 0.000 0.000 0.000
Pr 0.000 0.500 0.750
Pr 0.500 0.000 0.250
Si 0.000 0.500 0.376
Si 0.500 0.000 0.624
Si 0.500 0.500 0.000
Ni 0.000 0.000 0.500
Ni 0.000 0.500 0.130
Ni 0.500 0.000 0.870
Ni 0.500 0.500 0.500
```



DFT (GGA-PBE) results for LiPr2Ni3Sn4 after structural relaxation. Values from VASP.

Properties
- space-group type = P-4m2, No. 115
- density (g/cm3) = 7.50
- E_tot (eV/atom) = -5.02
- M_tot (μB per formula unit) = 0.00
- formation enthalpy at 0 K (eV per atom) = -0.539

```
&SYSTEM
  ibrav = 0, nat = 10, ntyp = 4
/
ATOMIC_SPECIES
Li 6.94 Li.upf
Pr 140.91 Pr.upf
Ni 58.69 Ni.upf
Sn 118.71 Sn.upf
CELL_PARAMETERS angstrom
4.485 0.000 0.000
0.000 4.485 0.000
0.000 0.000 10.344
ATOMIC_POSITIONS crystal
Li 0.000 0.000 0.000
Pr 0.000 0.500 0.755
Pr 0.500 0.000 0.245
Ni 0.000 0.500 0.376
Ni 0.500 0.000 0.624
Ni 0.500 0.500 0.000
Sn 0.000 0.000 0.500
Sn 0.000 0.500 0.131
Sn 0.500 0.000 0.869
Sn 0.500 0.500 0.500
```



DFT (GGA-PBE) results for LiPr2NiSn2 after structural relaxation. Values from VASP.

Properties
- space-group type = Ibam, No. 72
- density (g/cm3) = 6.62
- E_tot (eV/atom) = -4.81
- M_tot (μB per formula unit) = 0.00
- formation enthalpy at 0 K (eV per atom) = -0.600

```
&SYSTEM
  ibrav = 0, nat = 12, ntyp = 4
/
ATOMIC_SPECIES
Li 6.94 Li.upf
Pr 140.91 Pr.upf
Ni 58.69 Ni.upf
Sn 118.71 Sn.upf
CELL_PARAMETERS angstrom
-3.256 6.908 3.260
3.256 -6.908 3.260
3.256 6.908 -3.260
ATOMIC_POSITIONS crystal
Li 0.250 0.250 0.000
Li 0.750 0.750 0.000
Pr 0.151 0.741 0.891
Pr 0.349 0.241 0.590
Pr 0.651 0.759 0.410
Pr 0.849 0.259 0.109
Ni 0.250 0.750 0.500
Ni 0.750 0.250 0.500
Sn 0.106 0.256 0.362
Sn 0.394 0.756 0.150
Sn 0.606 0.244 0.850
Sn 0.894 0.744 0.638
```